[1]
Compound: SrAlPt2
Source: Alexandria
Functional: GGA-PBE
Structure: optimized geometry

Properties
energy of formation from the pure elements	-946	meV/atom
E_tot	-5.3224	eV per atom

Cell lengths 7.532, 4.334, 10.610 Å; angles 90.00, 90.00, 90.00 degrees
Space group Pnma (No. 62)
One atom of each set of equivalent atoms:
Sr: 0.141 0.250 0.129 [4 per cell]
Al: 0.017 0.750 0.393 [4 per cell]
Pt: 0.160 0.250 0.806 [4 per cell]
Pt: 0.194 0.250 0.428 [4 per cell]

[2]
Compound: TmPuSbAu
Source: Alexandria
Functional: GGA-PBE
Structure: optimized geometry

Properties
raw formation energy	-60.2	kJ per mole of atoms
E_tot	-7.1752	eV per atom

Cell lengths 7.365, 7.365, 7.365 Å; angles 90.00, 90.00, 90.00 degrees
Space group F-43m (No. 216)
One atom of each set of equivalent atoms:
Tm: 0.000 0.000 0.000 [4 per cell]
Pu: 0.000 0.000 0.500 [4 per cell]
Sb: 0.250 0.250 0.250 [4 per cell]
Au: 0.250 0.250 0.750 [4 per cell]

[3]
Compound: Mn5Ru
Source: Alexandria
Functional: GGA-PBE
Structure: optimized geometry

Properties
energy of formation from the pure elements	63	meV/atom
E_tot	-9.1240	eV per atom

Cell lengths 2.596, 2.596, 10.623 Å; angles 90.00, 90.00, 90.00 degrees
Space group P4/mmm (No. 123)
One atom of each set of equivalent atoms:
Mn: 0.000 0.000 0.000 [1 per cell]
Mn: 0.000 0.000 0.325 [2 per cell]
Mn: 0.500 0.500 0.162 [2 per cell]
Ru: 0.500 0.500 0.500 [1 per cell]

[4]
Compound: Nd3YNi2
Source: Alexandria
Functional: GGA-PBE
Structure: optimized geometry

Properties
energy of formation from the pure elements	-229	meV/atom
E_tot	-5.6178	eV per atom

Cell lengths 16.538, 3.971, 11.732 Å; angles 90.00, 124.05, 90.00 degrees
Space group C2/m (No. 12)
One atom of each set of equivalent atoms:
Nd: 0.081 0.000 0.444 [4 per cell]
Nd: 0.083 0.000 0.938 [4 per cell]
Nd: 0.154 0.500 0.248 [4 per cell]
Y: 0.158 0.500 0.750 [4 per cell]
Ni: 0.233 0.500 0.049 [4 per cell]
Ni: 0.233 0.500 0.552 [4 per cell]

[5]
Compound: Al2CoH2
Source: Alexandria
Functional: GGA-PBE
Structure: optimized geometry

Properties
E_tot	-4.3232	eV per atom

Cell lengths 2.763, 2.763, 11.832 Å; angles 90.00, 90.00, 90.00 degrees
Space group I4/mmm (No. 139)
One atom of each set of equivalent atoms:
Al: 0.000 0.000 0.129 [4 per cell]
Co: 0.000 0.000 0.500 [2 per cell]
H: 0.000 0.500 0.250 [4 per cell]

[6]
Compound: TcOs2W
Source: Alexandria
Functional: GGA-PBE
Structure: optimized geometry

Properties
energy of formation from the pure elements	79	meV/atom
E_tot	-11.3657	eV per atom

Cell lengths 9.108, 2.767, 4.804 Å; angles 90.00, 99.89, 90.00 degrees
Space group Cm (No. 8)
One atom of each set of equivalent atoms:
Tc: 0.000 0.000 0.000 [2 per cell]
Os: 0.249 0.500 0.232 [2 per cell]
Os: 0.493 0.000 0.475 [2 per cell]
W: 0.246 0.000 0.730 [2 per cell]

[7]
Compound: Li7Al2
Source: Alexandria
Functional: GGA-PBE
Structure: optimized geometry

Properties
energy of formation from the pure elements	-57	meV/atom
E_tot	-2.3770	eV per atom

Cell lengths 5.0136, 5.0136, 7.2371 Å; angles 90.00, 90.00, 120.00 degrees
Space group P-31m (No. 162)
One atom of each set of equivalent atoms:
Li: 0.0000 0.0000 0.0000 [1 per cell]
Li: 0.0000 0.3421 0.6754 [6 per cell]
Al: 0.3333 0.6667 0.0000 [2 per cell]